No. 1
The following is a PBE calculation of a relaxed structure of ZrCoSiIr, from OQMD via LeMat-Bulk.

Structure (CIF):
```
data_ZrCoSiIr
_symmetry_space_group_name_H-M 'P 1'
_symmetry_Int_Tables_number 1
_symmetry_space_group_name_Hall 'P 1'
_cell_length_a 4.3821
_cell_length_b 4.3821
_cell_length_c 4.3821
_cell_angle_alpha 60.00
_cell_angle_beta 60.00
_cell_angle_gamma 60.00
loop_
_atom_site_label
_atom_site_fract_x
_atom_site_fract_y
_atom_site_fract_z
Si1 0.0000 0.0000 0.0000
Co1 0.7500 0.7500 0.7500
Ir1 0.2500 0.2500 0.2500
Zr1 0.5000 0.5000 0.5000
```

Summary:
**Offset from the most stable computed form**: 0.000 eV per atom
**Uncorrected energy**: -8.03 eV/atom
**Magnetic moment**: 2.009 μB per cell
**Space-group type**: F-43m, No. 216

=====

No. 2
The following is a PBE calculation of a relaxed structure of SmCoIr, from OQMD via LeMat-Bulk.

Structure (CIF):
```
data_SmCoIr
_symmetry_space_group_name_H-M 'P 1'
_symmetry_Int_Tables_number 1
_symmetry_space_group_name_Hall 'P 1'
_cell_length_a 4.5296
_cell_length_b 4.5296
_cell_length_c 4.5296
_cell_angle_alpha 60.00
_cell_angle_beta 60.00
_cell_angle_gamma 60.00
loop_
_atom_site_label
_atom_site_fract_x
_atom_site_fract_y
_atom_site_fract_z
Co1 0.7500 0.7500 0.7500
Ir1 0.0000 0.0000 0.0000
Sm1 0.2500 0.2500 0.2500
```

Summary:
**Uncorrected energy**: -6.73 eV/atom
**Energy relative to the elements**: 158 meV/atom
**Magnetic moment**: 2.559 μB per cell
**Space-group type**: F-43m, No. 216

=====

No. 3
The following is a PBE calculation of a relaxed structure of SmCoIr, from OQMD via LeMat-Bulk.

Structure (CIF):
```
data_SmCoIr
_symmetry_space_group_name_H-M 'P 1'
_symmetry_Int_Tables_number 1
_symmetry_space_group_name_Hall 'P 1'
_cell_length_a 4.4438
_cell_length_b 4.4438
_cell_length_c 4.4438
_cell_angle_alpha 60.00
_cell_angle_beta 60.00
_cell_angle_gamma 60.00
loop_
_atom_site_label
_atom_site_fract_x
_atom_site_fract_y
_atom_site_fract_z
Ir1 0.7500 0.7500 0.7500
Sm1 0.0000 0.0000 0.0000
Co1 0.2500 0.2500 0.2500
```

Summary:
**Uncorrected energy**: -6.15 eV/atom
**Energy relative to the elements**: 744 meV/atom
**Magnetic moment**: 1.189 μB per cell
**Space-group type**: F-43m, No. 216